Record 1
# KGa2SnOs

A relaxed KGa2SnOs crystal (GGA-PBE, the Alexandria database).

Energy of formation (meV/atom): -48
Total DFT energy (no corrections) (eV per atom): -4.525
Crystal system: tetragonal

The structure in CIF format:
```
data_KGa2SnOs
_space_group_name_H-M_alt 'P 4/m m m'
_space_group_IT_number 123
_space_group_name_Hall '-P 4 2'
_cell_length_a 4.912
_cell_length_b 4.912
_cell_length_c 5.233
_cell_angle_alpha 90.00
_cell_angle_beta 90.00
_cell_angle_gamma 90.00
loop_
_atom_site_label
_atom_site_fract_x
_atom_site_fract_y
_atom_site_fract_z
K1 0.000 0.000 0.000
Ga1 0.000 0.500 0.500
Sn1 0.500 0.500 0.000
Os1 0.500 0.500 0.500
```

---

Record 2
# KGa2TeOs

A relaxed KGa2TeOs crystal (GGA-PBE, the Alexandria database).

Total DFT energy (no corrections) (eV per atom): -3.353
Energy relative to the elements, uncorrected (eV per atom): 0.952
Crystal system: tetragonal
Energy above the lowest structure with this stoichiometry (meV/atom): 0

The structure in CIF format:
```
data_KGa2TeOs
_space_group_name_H-M_alt 'P 4/m m m'
_space_group_IT_number 123
_space_group_name_Hall '-P 4 2'
_cell_length_a 5.798
_cell_length_b 5.798
_cell_length_c 4.942
_cell_angle_alpha 90.00
_cell_angle_beta 90.00
_cell_angle_gamma 90.00
loop_
_atom_site_label
_atom_site_fract_x
_atom_site_fract_y
_atom_site_fract_z
K1 0.000 0.000 0.000
Ga1 0.000 0.500 0.500
Te1 0.500 0.500 0.500
Os1 0.500 0.500 0.000
```